A plane-wave DFT calculation with GGA-PBE was carried out for Dy4Bi2SbTe after structural relaxation.

a = 7.654 Å, b = 4.426 Å, c = 7.655 Å
α = 90.00°, β = 109.43°, γ = 90.00°
Element x y z (fractional)
Dy (0.246, 0.000, 0.245)
Dy (0.250, 0.500, 0.754)
Dy (0.750, 0.500, 0.246)
Dy (0.754, 0.000, 0.755)
Bi (0.500, 0.000, 0.000)
Bi (0.500, 0.500, 0.500)
Sb (0.000, 0.500, 0.000)
Te (0.000, 0.000, 0.500)

Output
Symmetry: No. 10
Total energy: -41.94 eV per formula unit